(1)
Entry from the Alexandria database: a relaxed structure of TaInPt2 (GGA-PBEsol).

Values from the calculation:
Symmetry = Cm (8)
DFT total energy = -31.1 eV/cell

Lattice parameters (Å, degrees): 4.9551 4.9551 4.9741 97.94 97.94 33.58
With the nearest neighbours (Å) after each atom.
Sites, in units of the cell vectors:
1 Ta 0.0000 0.0000 0.0000  7 Pt 2.70-2.93, 2 Ta 2.86, 1 In 3.00
2 In 0.7590 0.7590 0.3309  7 Pt 2.69-2.88, 2 In 2.86, 1 Ta 3.00
3 Pt 0.2571 0.2571 0.8285  3 Ta 2.70-2.74, 4 In 2.86-2.88, 5 Pt 2.86-3.01
4 Pt 0.5062 0.5062 0.5147  3 In 2.69-2.79, 4 Ta 2.81-2.93, 2 Pt 2.86



(2)
Entry from the Alexandria database: a relaxed structure of TaInPt2 (GGA-PBEsol).

Values from the calculation:
Symmetry = R3m (160)
DFT total energy = -30.0 eV/cell

Lattice parameters (Å, degrees): 9.3280 9.3280 9.3280 17.95 17.95 17.95
With the nearest neighbours (Å) after each atom.
Sites, in units of the cell vectors:
1 Ta 0.0000 0.0000 0.0000  3 Pt 2.72, 6 Ta 2.91, 3 In 3.01
2 In 0.7574 0.7574 0.7574  3 Pt 2.79, 6 In 2.91, 3 Ta 3.01
3 Pt 0.2556 0.2556 0.2556  3 Ta 2.72, 9 Pt 2.86-2.91
4 Pt 0.5050 0.5050 0.5050  3 In 2.79, 9 Pt 2.86-2.91



(3)
Entry from the Alexandria database: a relaxed structure of TaInPt2 (GGA-PBEsol).

Values from the calculation:
Symmetry = I-4m2 (119)
DFT total energy = -30.8 eV/cell

Lattice parameters (Å, degrees): 4.9076 4.9076 4.9076 130.87 130.87 72.02
With the nearest neighbours (Å) after each atom.
Sites, in units of the cell vectors:
1 Ta 0.0000 0.0000 0.0000  4 In 2.85, 8 Pt 2.85-2.89
2 In 0.7500 0.2500 0.5000  4 Ta 2.85, 8 Pt 2.85-2.89
3 Pt 0.2500 0.7500 0.5000  4 Ta 2.85, 4 Pt 2.85, 4 In 2.89
4 Pt 0.5000 0.5000 0.0000  4 In 2.85, 4 Pt 2.85, 4 Ta 2.89



(4)
Entry from the Alexandria database: a relaxed structure of TaInPt2 (GGA-PBEsol).

Values from the calculation:
Symmetry = Pmm2 (25)
DFT total energy = -30.8 eV/cell

Lattice parameters (Å, degrees): 2.9138 4.0477 5.7236 90.00 90.00 90.00
With the nearest neighbours (Å) after each atom.
Sites, in units of the cell vectors:
1 Ta 0.0000 0.0000 0.0000  6 Pt 2.72-3.01, 2 Ta 2.91
2 In 0.5000 0.5000 0.3112  6 Pt 2.78-2.87, 2 In 2.91, 4 Ta 3.06
3 Pt 0.0000 0.0000 0.5256  2 Ta 2.72-3.01, 4 In 2.78, 6 Pt 2.91-2.98
4 Pt 0.5000 0.5000 0.8093  4 Ta 2.72, 2 In 2.85-2.87, 6 Pt 2.91-2.98



(5)
Entry from the Alexandria database: a relaxed structure of Tb2In16Pt7 (GGA-PBEsol).

Values from the calculation:
Symmetry = Cmmm (65)
DFT total energy = -120.2 eV/cell

Lattice parameters (Å, degrees): 11.6696 11.6696 4.3932 90.00 90.00 117.53
With the nearest neighbours (Å) after each atom.
Sites, in units of the cell vectors:
1 Tb 0.1701 0.1701 0.0000  4 Pt 3.15, 10 In 3.24-3.34
2 Tb 0.8299 0.8299 0.0000  4 Pt 3.15, 10 In 3.24-3.34
3 In 0.0386 0.7131 0.0000  3 Pt 2.71-2.73, 1 In 3.00
4 In 0.0729 0.9271 0.5000  2 Pt 2.80, 1 In 2.91
5 In 0.1407 0.5874 0.5000  3 Pt 2.74-2.85, 1 In 2.96
6 In 0.2562 0.4825 0.0000  4 Pt 2.72-2.82
7 In 0.2869 0.9614 0.0000  3 Pt 2.71-2.73, 1 In 3.00
8 In 0.3674 0.3674 0.5000  4 Pt 2.72-2.78
9 In 0.4126 0.8593 0.5000  3 Pt 2.74-2.85, 1 In 2.96
10 In 0.4825 0.2562 0.0000  4 Pt 2.72-2.82
11 In 0.5175 0.7438 0.0000  4 Pt 2.72-2.82
12 In 0.5874 0.1407 0.5000  3 Pt 2.74-2.85, 1 In 2.96
13 In 0.6326 0.6326 0.5000  4 Pt 2.72-2.78
14 In 0.7131 0.0386 0.0000  3 Pt 2.71-2.73, 1 In 3.00
15 In 0.7438 0.5175 0.0000  4 Pt 2.72-2.82
16 In 0.8593 0.4126 0.5000  3 Pt 2.74-2.85, 1 In 2.96
17 In 0.9271 0.0729 0.5000  2 Pt 2.80, 1 In 2.91
18 In 0.9614 0.2869 0.0000  3 Pt 2.71-2.73, 1 In 3.00
19 Pt 0.1152 0.3324 0.5000  7 In 2.73-2.85
20 Pt 0.2758 0.7242 0.0000  8 In 2.71-2.74
21 Pt 0.3324 0.1152 0.5000  7 In 2.73-2.85
22 Pt 0.5000 0.5000 0.0000  8 In 2.72-2.76
23 Pt 0.6676 0.8848 0.5000  7 In 2.73-2.85
24 Pt 0.7242 0.2758 0.0000  8 In 2.71-2.74
25 Pt 0.8848 0.6676 0.5000  7 In 2.73-2.85



(6)
Entry from the Alexandria database: a relaxed structure of TbInPt2 (GGA-PBEsol).

Values from the calculation:
Symmetry = P6_3/mmc (194)
DFT total energy = -51.5 eV/cell

Lattice parameters (Å, degrees): 4.5260 4.5260 8.8889 90.00 90.00 120.00
With the nearest neighbours (Å) after each atom.
Sites, in units of the cell vectors:
1 Tb 0.3333 0.6667 0.2500  8 Pt 2.97-3.03
2 Tb 0.6667 0.3333 0.7500  8 Pt 2.97-3.03
3 In 0.0000 0.0000 0.0000  6 Pt 2.73
4 In 0.0000 0.0000 0.5000  6 Pt 2.73
5 Pt 0.3333 0.6667 0.5907  3 In 2.73, 1 Pt 2.83, 4 Tb 2.97-3.03
6 Pt 0.3333 0.6667 0.9093  3 In 2.73, 1 Pt 2.83, 4 Tb 2.97-3.03
7 Pt 0.6667 0.3333 0.0907  3 In 2.73, 1 Pt 2.83, 4 Tb 2.97-3.03
8 Pt 0.6667 0.3333 0.4093  3 In 2.73, 1 Pt 2.83, 4 Tb 2.97-3.03



(7)
Entry from the Alexandria database: a relaxed structure of InTc2Pt (GGA-PBEsol).

Values from the calculation:
Symmetry = R-3m (166)
DFT total energy = -31.5 eV/cell

Lattice parameters (Å, degrees): 9.1819 9.1819 9.1819 17.64 17.64 17.64
With the nearest neighbours (Å) after each atom.
Sites, in units of the cell vectors:
1 In 0.0000 0.0000 0.0000  6 In 2.82, 6 Tc 2.86
2 Tc 0.2465 0.2465 0.2465  3 Pt 2.71, 6 Tc 2.82, 3 In 2.86
3 Tc 0.7535 0.7535 0.7535  3 Pt 2.71, 6 Tc 2.82, 3 In 2.86
4 Pt 0.5000 0.5000 0.5000  6 Tc 2.71, 6 Pt 2.82



(8)
Entry from the Alexandria database: a relaxed structure of InTc2Pt (GGA-PBEsol).

Values from the calculation:
Symmetry = P4/mmm (123)
DFT total energy = -31.7 eV/cell

Lattice parameters (Å, degrees): 2.7694 2.7694 8.0679 90.00 90.00 90.00
With the nearest neighbours (Å) after each atom.
Sites, in units of the cell vectors:
1 In 0.0000 0.0000 0.0000  4 In 2.77, 8 Tc 2.89
2 Tc 0.5000 0.5000 0.2638  4 Pt 2.73, 4 Tc 2.77, 4 In 2.89
3 Tc 0.5000 0.5000 0.7362  4 Pt 2.73, 4 Tc 2.77, 4 In 2.89
4 Pt 0.0000 0.0000 0.5000  8 Tc 2.73, 4 Pt 2.77



Question: The lowest DFT total energy belongs to which entry?
Answer: Tb2In16Pt7



Question: Which value of DFT total energy does entry 8 give?
Answer: -31.7 eV/cell